DFT (PBE+U) results for an optimized crystal structure of LaFeNF2.

Summary:
**Energy**: -29.21 eV per cell
**V**: 101.82 Å³/cell
**Symmetry**: P4/mmm, No. 123
**Energy above the most stable polymorph in this dataset**: 559.9 meV/atom

The structure in POSCAR format:
```
LaFeNF2
1.0
4.5943 0.0000 0.0000
0.0000 4.5943 0.0000
0.0000 0.0000 4.8238
N Fe F La
1 1 2 1
Cartesian
0.0000 0.0000 2.4119
2.2972 2.2972 2.4119
0.0000 2.2972 0.0000
2.2972 0.0000 0.0000
0.0000 0.0000 0.0000
```